LaPu6Ge6: relaxed, PBE.

a = 5.857 Å, b = 5.857 Å, c = 9.625 Å
α = 90.00°, β = 90.00°, γ = 116.11°
Each line ends with the local moment (μB).
Fractional positions:
La 0.000 0.000 0.000  -0.06
Pu 0.500 0.500 0.316  5.08
Pu 0.500 0.000 0.231  -5.03
Pu 0.500 0.000 0.769  -5.03
Pu 0.000 0.500 0.231  -5.03
Pu 0.500 0.500 0.684  5.08
Pu 0.000 0.500 0.769  -5.03
Ge 0.772 0.228 0.500  0.02
Ge 0.228 0.772 0.500  0.02
Ge 0.000 0.000 0.679  0.01
Ge 0.000 0.000 0.321  0.01
Ge 0.628 0.372 0.000  0.03
Ge 0.372 0.628 0.000  0.03

space group: No. 65
total DFT energy (no corrections): -9.3887 eV/atom
total magnetization: 10.3 μB/f.u.
energy relative to the elements: -0.26 eV per atom